! PuTaVRu PBE relaxed; values from VASP
! * symmetry: No. 216
! * total energy: -44.5 eV per cell
! * size of the total moment: 3.6 μB per formula unit
&SYSTEM
  ibrav = 0, nat = 4, ntyp = 4
/
ATOMIC_SPECIES
Pu 244.00 Pu.upf
Ru 101.07 Ru.upf
V 50.94 V.upf
Ta 180.95 Ta.upf
ATOMIC_POSITIONS angstrom
Pu 6.8921 3.9791 2.8137
Ru 4.5947 2.6528 1.8758
V 0.0000 0.0000 0.0000
Ta 2.2974 1.3264 0.9379
CELL_PARAMETERS angstrom
4.5947 0.0000 0.0000
2.2974 3.9791 0.0000
2.2974 1.3264 3.7516

---

! Ba2Mg3Cd9 PBE relaxed; values from VASP
! * symmetry: No. 63
! * total energy: -39.7 eV per cell
! * size of the total moment: 0.0 μB per formula unit
&SYSTEM
  ibrav = 0, nat = 28, ntyp = 3
/
ATOMIC_SPECIES
Cd 112.41 Cd.upf
Mg 24.30 Mg.upf
Ba 137.33 Ba.upf
ATOMIC_POSITIONS angstrom
Cd 1.6403 7.7473 9.5728
Cd 5.9268 5.2521 9.5728
Cd 1.5661 2.6904 10.1314
Cd 3.0533 5.2452 0.3364
Cd 3.9419 6.7717 7.8509
Cd 3.0533 5.2452 4.8975
Cd -1.3074 2.6835 0.8950
Cd 3.3857 2.8307 2.6170
Cd 0.6775 1.1639 2.6170
Mg 4.7565 2.5435 0.0000
Ba 2.8785 0.0902 7.8509
Mg 4.7565 2.5435 5.2339
Cd 2.9791 0.1883 4.3389
Ba -1.3430 2.5476 7.8509
Mg -0.1371 5.3921 5.2339
Mg 0.0000 0.0000 5.2339
Cd 2.9791 0.1883 0.8950
Cd -1.3074 2.6835 4.3389
Cd 0.7896 4.3419 2.6170
Cd 1.2337 5.1049 7.8509
Mg -0.1371 5.3921 0.0000
Mg 0.0000 0.0000 0.0000
Cd 1.6403 7.7473 6.1290
Cd 5.9268 5.2521 6.1290
Ba 5.9624 5.3881 2.6170
Cd 3.8298 3.5937 7.8509
Cd 1.5661 2.6904 5.5704
Ba 1.7409 7.8454 2.6170
CELL_PARAMETERS angstrom
8.9658 0.0932 0.0000
-4.3464 7.8424 0.0000
0.0000 0.0000 10.4679

---

! Pr2Y5Mg PBE relaxed; values from VASP
! * ΔE to the lowest computed polymorph: 113 meV/atom
! * symmetry: No. 2
! * total energy: -84.9 eV per cell
! * size of the total moment: 0.0 μB per formula unit
&SYSTEM
  ibrav = 0, nat = 16, ntyp = 3
/
ATOMIC_SPECIES
Y 88.91 Y.upf
Mg 24.30 Mg.upf
Pr 140.91 Pr.upf
ATOMIC_POSITIONS angstrom
Y 6.0659 9.3668 12.6457
Y 5.0790 5.1145 8.7083
Y 10.7589 4.6916 12.3097
Mg 3.9114 10.6161 10.5979
Pr 6.3116 -2.3014 4.0773
Y 14.2466 -2.3955 12.4940
Y 8.8928 7.6622 12.9193
Y 6.9451 2.1439 8.0987
Y 9.7720 0.4393 8.3723
Y 9.5284 1.4708 11.6532
Pr 4.9522 3.6729 5.6505
Pr 7.9189 4.9030 10.5090
Y 6.3094 8.3353 9.3648
Y 1.5912 12.2016 8.5241
Mg 11.9265 -0.8100 10.4201
Pr 1.6073 7.2045 6.4317
CELL_PARAMETERS angstrom
12.6232 -4.6029 8.1547
-2.7188 11.9486 3.1464
5.9334 2.4603 9.7169

---

! BaSr3Be PBE relaxed; values from VASP
! * ΔE to the lowest computed polymorph: 1129 meV/atom
! * symmetry: No. 221
! * total energy: -3.8 eV per cell
! * size of the total moment: 0.0 μB per formula unit
&SYSTEM
  ibrav = 0, nat = 5, ntyp = 3
/
ATOMIC_SPECIES
Ba 137.33 Ba.upf
Sr 87.62 Sr.upf
Be 9.01 Be.upf
ATOMIC_POSITIONS angstrom
Ba 0.0000 0.0000 0.0000
Sr -0.5879 -2.5379 -1.7267
Sr -1.0530 -1.4846 2.5407
Sr 2.8833 -1.0597 0.5758
Be 1.2424 -5.0822 1.3898
CELL_PARAMETERS angstrom
-2.1060 -2.9692 5.0813
-1.1758 -5.0758 -3.4533
5.7666 -2.1193 1.1516

---

! TaGeTe2 PBE relaxed; values from VASP
! * symmetry: No. 166
! * ΔE_f (raw): 0.03 eV/atom
! * total energy: -22.6 eV per cell
! * size of the total moment: 0.0 μB per formula unit
&SYSTEM
  ibrav = 0, nat = 4, ntyp = 3
/
ATOMIC_SPECIES
Ta 180.95 Ta.upf
Ge 72.64 Ge.upf
Te 127.60 Te.upf
ATOMIC_POSITIONS angstrom
Ta 0.0000 0.0000 14.7095
Ge 0.0000 0.0000 0.0000
Te 0.0000 0.0000 26.4074
Te 0.0000 0.0000 3.0117
CELL_PARAMETERS angstrom
2.0542 0.0000 9.8063
-1.0271 1.7790 9.8063
-1.0271 -1.7790 9.8063

---

! AcCuPb PBE relaxed; values from VASP
! * ΔE to the lowest computed polymorph: 40 meV/atom
! * symmetry: No. 156
! * total energy: -12.9 eV per cell
! * size of the total moment: 0.0 μB per formula unit
&SYSTEM
  ibrav = 0, nat = 3, ntyp = 3
/
ATOMIC_SPECIES
Pb 207.20 Pb.upf
Ac 227.00 Ac.upf
Cu 63.55 Cu.upf
ATOMIC_POSITIONS angstrom
Pb -0.3398 0.5466 -0.4113
Ac -3.1401 2.5491 0.3503
Cu -2.6331 -0.8764 -0.3738
CELL_PARAMETERS angstrom
-2.0205 3.2501 -2.4459
-2.8118 -3.1989 -1.9279
-1.2808 2.1681 3.9389

---

! Np2As4Pt PBE relaxed; values from VASP
! * symmetry: No. 115
! * total energy: -54.4 eV per cell
! * size of the total moment: 6.0 μB per formula unit
&SYSTEM
  ibrav = 0, nat = 7, ntyp = 3
/
ATOMIC_SPECIES
Pt 195.08 Pt.upf
Np 237.00 Np.upf
As 74.92 As.upf
ATOMIC_POSITIONS angstrom
Pt 2.0054 2.0054 0.0000
Np 0.0000 2.0054 2.2827
As 2.0054 2.0054 4.5613
As 0.0000 2.0054 7.5725
As 0.0000 0.0000 4.5613
Np 2.0054 0.0000 6.8399
As 2.0054 0.0000 1.5501
CELL_PARAMETERS angstrom
4.0109 0.0000 0.0000
0.0000 4.0109 0.0000
0.0000 0.0000 9.1226

---

! Pu2Tc3Ge PBE relaxed; values from VASP
! * symmetry: No. 12
! * total energy: -65.3 eV per cell
! * size of the total moment: 9.5 μB per formula unit
&SYSTEM
  ibrav = 0, nat = 6, ntyp = 3
/
ATOMIC_SPECIES
Tc 98.00 Tc.upf
Ge 72.64 Ge.upf
Pu 244.00 Pu.upf
ATOMIC_POSITIONS angstrom
Tc -0.1093 0.0607 2.6744
Ge 0.0000 0.0000 0.0000
Pu -0.8968 2.8258 3.8805
Tc 2.2613 -0.0044 1.4294
Tc 0.7569 2.2085 1.3106
Pu 2.4106 1.5913 -1.2594
CELL_PARAMETERS angstrom
4.7413 -0.1302 -2.4901
-3.0089 4.4258 -0.2376
-0.2187 0.1215 5.3488

---

! Sr2LiPuPd6 PBE relaxed; values from VASP
! * symmetry: No. 2
! * total energy: -54.8 eV per cell
! * size of the total moment: 5.3 μB per formula unit
&SYSTEM
  ibrav = 0, nat = 10, ntyp = 4
/
ATOMIC_SPECIES
Pd 106.42 Pd.upf
Sr 87.62 Sr.upf
Pu 244.00 Pu.upf
Li 6.94 Li.upf
ATOMIC_POSITIONS angstrom
Pd 2.2399 4.1780 2.8256
Sr 4.4242 6.8450 2.3962
Pd 0.8020 4.6844 0.4465
Pu 3.5751 3.3488 0.5296
Pd 10.3323 5.6467 5.2688
Sr 6.7101 3.4861 3.3191
Pd 8.8944 6.1531 2.8897
Li 0.0000 0.0000 0.0000
Pd 9.9388 8.3156 4.5303
Pd 1.1955 2.0155 1.1850
CELL_PARAMETERS angstrom
7.6130 -0.5005 0.5895
-0.4628 7.1980 0.4698
3.9841 3.6336 4.6561

---

! NaZn2MoH PBE relaxed; values from VASP
! * symmetry: No. 123
! * total energy: -11.2 eV per cell
! * size of the total moment: 4.3 μB per formula unit
&SYSTEM
  ibrav = 0, nat = 5, ntyp = 4
/
ATOMIC_SPECIES
H 1.01 H.upf
Na 22.99 Na.upf
Zn 65.41 Zn.upf
Mo 95.94 Mo.upf
ATOMIC_POSITIONS angstrom
H 2.5595 3.1675 2.5595
Na 0.0000 3.1675 0.0000
Zn 2.5595 0.0000 0.0000
Zn 0.0000 0.0000 2.5595
Mo 0.0000 0.0000 0.0000
CELL_PARAMETERS angstrom
5.1190 0.0000 0.0000
0.0000 6.3351 0.0000
0.0000 0.0000 5.1190

---

! Nd2ScInO6 PBE relaxed; values from VASP
! * symmetry: No. 14
! * ΔE_f (raw): -2.97 eV/atom
! * total energy: -156.1 eV per cell
! * size of the total moment: 0.0 μB per formula unit
&SYSTEM
  ibrav = 0, nat = 20, ntyp = 4
/
ATOMIC_SPECIES
Sc 44.96 Sc.upf
In 114.82 In.upf
O 16.00 O.upf
Nd 144.24 Nd.upf
ATOMIC_POSITIONS angstrom
Sc 2.3038 -2.8682 3.4589
In 1.7385 1.0326 4.5384
O 0.9638 -0.1100 6.2444
O 0.6568 -3.1004 4.7439
Nd 2.2531 -1.9844 6.9270
In -0.9282 -2.6378 0.9557
O 1.8622 -0.7871 3.3426
Nd 1.8151 1.8219 7.8695
O 1.9796 -4.4042 7.1446
O 3.4255 -0.2523 8.0614
Nd -0.1945 -5.0323 3.1188
O 2.1833 -2.6701 9.5005
O -1.8049 -2.9581 2.9269
O -2.0002 -0.7913 5.9087
Sc -1.4936 1.2629 2.0353
O -0.5627 -0.5404 1.4878
Nd -0.6325 -1.2261 4.0613
O 3.6207 -2.4192 5.0796
O -0.2416 -2.4233 7.6457
O -0.3590 1.1938 3.8437
CELL_PARAMETERS angstrom
-2.9871 2.5259 4.0705
-1.8564 -5.2756 1.9114
6.4640 -0.4607 5.0063

---

! BaOsRu PBE relaxed; values from VASP
! * ΔE to the lowest computed polymorph: 86 meV/atom
! * symmetry: No. 11
! * total energy: -42.3 eV per cell
! * size of the total moment: 0.0 μB per formula unit
&SYSTEM
  ibrav = 0, nat = 6, ntyp = 3
/
ATOMIC_SPECIES
Ba 137.33 Ba.upf
Ru 101.07 Ru.upf
Os 190.23 Os.upf
ATOMIC_POSITIONS angstrom
Ba -7.5476 -2.1939 0.0859
Ru -5.2145 -0.6550 -1.8987
Os -3.9238 -3.0271 -1.5414
Ba -4.4416 -0.7565 1.3528
Ru -2.7399 -0.7561 -1.1487
Os -4.0309 1.6163 -1.5053
CELL_PARAMETERS angstrom
-3.2600 2.0827 -2.2170
-1.6969 -4.5679 -1.7965
-4.0348 -1.5397 4.4864